Material: ScCuS2
Method: DFT, PBE
State: optimized geometry

Cell and atoms, written as POSCAR:
```
ScCuS2
1.0
2.2015 0.0000 7.0134
-1.1008 1.9066 7.0134
-1.1008 -1.9066 7.0134
Sc S Cu
1 2 1
Cartesian
0.0000 0.0000 10.5201
0.0000 0.0000 18.9052
0.0000 0.0000 2.1351
0.0000 0.0000 0.0000
```

Output
Magnetic moment   0.0 μB/f.u.
Formation energy (no corrections)   -4.853 eV per formula unit
Fermi-level density of states   0.0 states/eV/cell
Theoretical density   3.25 g/cm3